[1]
{"formula": "ZrFe3Ag", "functional": "SCAN", "state": "PBEsol geometry", "lattice": [[-3.205, -0.043, -3.101], [-3.101, -0.053, 3.205], [-0.067, 4.460, 0.008]], "species": ["Zr", "Fe", "Ag", "Fe", "Fe"], "fractional_positions": [[0.000, 0.000, 0.000], [0.000, 0.000, 0.500], [0.500, 0.500, 0.500], [0.500, 0.000, 0.000], [0.000, 0.500, 0.000]], "spacegroup": "No. 221", "e_form_ev_per_atom": 1.625, "energy_ev_per_atom": -21.666, "vol_a3_per_atom": 17.7}

***

[2]
{"formula": "ZrFeAg2", "functional": "SCAN", "state": "PBEsol geometry", "lattice": [[-0.675, 4.023, 1.963], [1.185, 0.637, 4.322], [3.531, 2.645, 1.012]], "species": ["Ag", "Fe", "Ag", "Zr"], "fractional_positions": [[0.250, 0.250, 0.250], [0.500, 0.500, 0.500], [0.000, 0.000, 0.000], [0.750, 0.750, 0.750]], "spacegroup": "No. 216", "e_form_ev_per_atom": 0.145, "energy_ev_per_atom": -27.746, "vol_a3_per_atom": 16.4}

***

[3]
{"formula": "ZrFeAg2", "functional": "SCAN", "state": "PBEsol geometry", "lattice": [[2.825, 0.000, 0.000], [0.000, 2.825, 0.000], [0.000, 0.000, 8.200]], "species": ["Ag", "Zr", "Ag", "Fe"], "fractional_positions": [[0.000, 0.000, 0.224], [0.500, 0.500, 0.500], [0.000, 0.000, 0.776], [0.500, 0.500, 0.000]], "spacegroup": "No. 123", "e_form_ev_per_atom": 0.176, "energy_ev_per_atom": -27.715, "vol_a3_per_atom": 16.4}